[1]
Entry from Alexandria: crystalline LiSi3As at its relaxed geometry (GGA-PBE).

```
data_LiSi3As
_chemical_formula_sum 'Li1 Si3 As1'
_symmetry_space_group_name_H-M 'P m -3 m'
_symmetry_Int_Tables_number 221
_symmetry_space_group_name_Hall '-P 4 2 3'
_cell_length_a 4.4257
_cell_length_b 4.4257
_cell_length_c 4.4257
_cell_angle_alpha 90.00
_cell_angle_beta 90.00
_cell_angle_gamma 90.00
loop_
_atom_site_label
_atom_site_type_symbol
_atom_site_fract_x
_atom_site_fract_y
_atom_site_fract_z
Li1 Li 0.0000 0.0000 0.0000
Si1 Si 0.0000 0.0000 0.5000
As1 As 0.5000 0.5000 0.5000
```

**DOS(E_F)**: 0.65 states/eV/atom
**Formation energy without anion corrections**: 0.86 eV per atom
**ΔE to the lowest computed polymorph**: 0 meV per atom
**Magnetic moment**: 0.00 μB/f.u.
**Calculated total energy**: -3.71 eV/atom

[2]
Entry from Alexandria: crystalline Li5Si2As4 at its relaxed geometry (GGA-PBE).

```
data_Li5Si2As4
_chemical_formula_sum 'Li10 Si4 As8'
_symmetry_space_group_name_H-M 'C 1 2/m 1'
_symmetry_Int_Tables_number 12
_symmetry_space_group_name_Hall '-C 2y'
_cell_length_a 14.7538
_cell_length_b 3.6102
_cell_length_c 8.3295
_cell_angle_alpha 90.00
_cell_angle_beta 110.61
_cell_angle_gamma 90.00
loop_
_atom_site_label
_atom_site_type_symbol
_atom_site_fract_x
_atom_site_fract_y
_atom_site_fract_z
Li1 Li 0.0000 0.0000 0.0000
Li2 Li 0.1831 0.5000 0.5382
Li3 Li 0.2008 0.5000 0.1367
Si1 Si 0.0161 0.0000 0.6512
As1 As 0.1187 0.5000 0.7946
As2 As 0.1313 0.0000 0.2971
```

**DOS(E_F)**: 0.20 states/eV/atom
**Formation energy without anion corrections**: -0.45 eV per atom
**Magnetic moment**: 0.00 μB/f.u.
**Calculated total energy**: -4.00 eV/atom

[3]
Entry from Alexandria: crystalline LiSi4As at its relaxed geometry (GGA-PBE).

```
data_LiSi4As
_chemical_formula_sum 'Li4 Si16 As4'
_symmetry_space_group_name_H-M 'F -4 3 m'
_symmetry_Int_Tables_number 216
_symmetry_space_group_name_Hall 'F -4 2 3'
_cell_length_a 7.2675
_cell_length_b 7.2675
_cell_length_c 7.2675
_cell_angle_alpha 90.00
_cell_angle_beta 90.00
_cell_angle_gamma 90.00
loop_
_atom_site_label
_atom_site_type_symbol
_atom_site_fract_x
_atom_site_fract_y
_atom_site_fract_z
Li1 Li 0.0000 0.0000 0.0000
Si1 Si 0.1260 0.1260 0.3740
As1 As 0.2500 0.2500 0.7500
```

**DOS(E_F)**: 0.40 states/eV/atom
**Formation energy without anion corrections**: 0.32 eV per atom
**Magnetic moment**: 0.00 μB/f.u.
**Calculated total energy**: -4.39 eV/atom

[4]
Entry from Alexandria: crystalline Li3SiAs3 at its relaxed geometry (GGA-PBE).

```
data_Li3SiAs3
_chemical_formula_sum 'Li12 Si4 As12'
_symmetry_space_group_name_H-M 'C 1 2/m 1'
_symmetry_Int_Tables_number 12
_symmetry_space_group_name_Hall '-C 2y'
_cell_length_a 8.3050
_cell_length_b 10.0761
_cell_length_c 7.0811
_cell_angle_alpha 90.00
_cell_angle_beta 94.75
_cell_angle_gamma 90.00
loop_
_atom_site_label
_atom_site_type_symbol
_atom_site_fract_x
_atom_site_fract_y
_atom_site_fract_z
Li1 Li 0.0000 0.1848 0.0000
Li2 Li 0.0000 0.2550 0.5000
Li3 Li 0.1434 0.5000 0.9008
Si1 Si 0.1638 0.0000 0.6195
As1 As 0.1014 0.0000 0.2867
As2 As 0.1404 0.3652 0.2259
```

**DOS(E_F)**: 0.01 states/eV/atom
**Formation energy without anion corrections**: -0.32 eV per atom
**Magnetic moment**: 0.00 μB/f.u.
**Calculated total energy**: -3.91 eV/atom

[5]
Entry from Alexandria: crystalline Li4SiAs at its relaxed geometry (GGA-PBE).

```
data_Li4SiAs
_chemical_formula_sum 'Li16 Si4 As4'
_symmetry_space_group_name_H-M 'F -4 3 m'
_symmetry_Int_Tables_number 216
_symmetry_space_group_name_Hall 'F -4 2 3'
_cell_length_a 7.1263
_cell_length_b 7.1263
_cell_length_c 7.1263
_cell_angle_alpha 90.00
_cell_angle_beta 90.00
_cell_angle_gamma 90.00
loop_
_atom_site_label
_atom_site_type_symbol
_atom_site_fract_x
_atom_site_fract_y
_atom_site_fract_z
Li1 Li 0.1246 0.1246 0.1246
Si1 Si 0.2500 0.2500 0.7500
As1 As 0.0000 0.0000 0.5000
```

**DOS(E_F)**: 0.58 states/eV/atom
**Formation energy without anion corrections**: 0.03 eV per atom
**Magnetic moment**: 0.00 μB/f.u.
**Calculated total energy**: -2.92 eV/atom

[6]
Entry from Alexandria: crystalline LiSi2As3 at its relaxed geometry (GGA-PBE).

```
data_LiSi2As3
_chemical_formula_sum 'Li4 Si8 As12'
_symmetry_space_group_name_H-M 'C 1 c 1'
_symmetry_Int_Tables_number 9
_symmetry_space_group_name_Hall 'C -2yc'
_cell_length_a 6.8236
_cell_length_b 12.1236
_cell_length_c 6.7165
_cell_angle_alpha 90.00
_cell_angle_beta 107.87
_cell_angle_gamma 90.00
loop_
_atom_site_label
_atom_site_type_symbol
_atom_site_fract_x
_atom_site_fract_y
_atom_site_fract_z
Li1 Li 0.0000 0.0732 0.0000
Si1 Si 0.0021 0.2583 0.5134
Si2 Si 0.4746 0.0866 0.5101
As1 As 0.1139 0.4252 0.3875
As2 As 0.1183 0.1023 0.3806
As3 As 0.1227 0.2528 0.8951
```

**Formation energy without anion corrections**: -0.19 eV per atom
**Magnetic moment**: 0.00 μB/f.u.
**Calculated total energy**: -4.65 eV/atom

Question: What is the formation energy without anion corrections in the third record?
Answer: 0.32 eV per atom

Question: What is the magnetic moment in the fourth record?
Answer: 0.00 μB/f.u.